(1)
K2AgHg: relaxed, PBE.

Results
Space group = Cm

Cell: 6.936 6.936 5.808 Å, 66.72 66.72 34.19°
Element x y z (fractional)
K: 0.022 0.022 0.972
K: 0.224 0.224 0.283
Hg: 0.791 0.791 0.720
Ag: 0.463 0.463 0.526

***

(2)
PmPuAlO6: relaxed, PBE.

Results
Space group = P312
E_form (uncorrected) = -2870 meV/atom

Cell: 5.087 5.261 5.261 Å, 120.00 90.00 90.00°
Element x y z (fractional)
Pm: 0.000 0.333 0.667
Pu: 0.500 0.667 0.333
Al: 0.500 0.000 0.000
O: 0.714 0.703 0.686
O: 0.714 0.314 0.018
O: 0.714 0.982 0.297
O: 0.286 0.314 0.297
O: 0.286 0.703 0.018
O: 0.286 0.982 0.686

***

(3)
Li3Tb2PaS6: relaxed, PBE.

Results
Space group = C2/m
E_form (uncorrected) = -1693 meV/atom

Cell: 6.752 6.752 6.606 Å, 99.82 99.82 120.00°
Element x y z (fractional)
Li: 0.167 0.833 0.500
Li: 0.833 0.167 0.500
Li: 0.500 0.500 0.500
Tb: 0.333 0.667 0.000
Tb: 0.667 0.333 0.000
Pa: 0.000 0.000 0.000
S: 0.914 0.586 0.743
S: 0.756 0.756 0.255
S: 0.086 0.414 0.257
S: 0.586 0.914 0.743
S: 0.244 0.244 0.745
S: 0.414 0.086 0.257

***

(4)
Y2P2Pb: relaxed, PBE.

Results
Space group = P4/mbm

Cell: 7.816 7.816 3.759 Å, 90.00 90.00 90.00°
Element x y z (fractional)
Pb: 0.000 0.000 0.000
Pb: 0.500 0.500 0.000
Y: 0.154 0.654 0.500
Y: 0.654 0.846 0.500
Y: 0.846 0.346 0.500
Y: 0.346 0.154 0.500
P: 0.353 0.853 0.000
P: 0.853 0.647 0.000
P: 0.647 0.147 0.000
P: 0.147 0.353 0.000

***

(5)
CsNaAsCl6: relaxed, PBE.

Results
Space group = P312
E_form (uncorrected) = -1133 meV/atom

Cell: 6.997 6.997 7.538 Å, 90.02 89.98 59.95°
Element x y z (fractional)
Cs: 0.000 0.000 0.000
Na: 0.666 0.666 0.500
As: 0.333 0.333 0.500
Cl: 0.046 0.348 0.314
Cl: 0.348 0.046 0.686
Cl: 0.606 0.349 0.686
Cl: 0.045 0.607 0.686
Cl: 0.349 0.606 0.314
Cl: 0.607 0.045 0.314

***

(6)
Ho2PaSe5: relaxed, PBE.

Results
Space group = Fmmm
E_form (uncorrected) = -1402 meV/atom

Cell: 5.587 5.534 8.107 Å, 79.99 69.85 59.69°
Element x y z (fractional)
Ho: 0.819 0.500 0.863
Ho: 0.181 0.500 0.137
Pa: 0.500 0.500 0.500
Se: 0.180 0.830 0.809
Se: 0.489 0.830 0.191
Se: 0.000 0.500 0.500
Se: 0.820 0.170 0.191
Se: 0.511 0.170 0.809

***

(7)
ThPa2Si: relaxed, PBE.

Results
Space group = P4/mmm
E_form (uncorrected) = -177 meV/atom

Cell: 4.823 4.435 4.435 Å, 90.00 90.00 90.00°
Element x y z (fractional)
Si: 0.500 0.000 0.000
Pa: 0.000 0.000 0.500
Pa: 0.000 0.500 0.000
Th: 0.500 0.500 0.500

***

(8)
Y5As: relaxed, PBE.

Results
Space group = Amm2

Cell: 8.810 8.810 5.221 Å, 90.00 90.00 154.87°
Element x y z (fractional)
Y: 0.333 0.667 0.000
Y: 0.647 0.353 0.000
Y: 0.462 0.538 0.500
Y: 0.777 0.223 0.500
Y: 0.111 0.889 0.500
As: 0.003 0.997 0.000

***

D(E_F) in states/eV per cell, matching the order above: 1.674; 7.563; 6.372; 5.933; 4.392; 3.284; 7.345; 5.781
Energy in eV/atom, matching the order above: -1.425; -8.711; -5.798; -6.431; -3.122; -5.911; -8.136; -6.412